A relaxed structure of BeRe2AgW, computed with GGA-PBE.

abc: 4.181 4.247 4.181
angles: 90.00 90.00 90.00
Sites, in units of the cell vectors:
1 Re 0.000 0.000 0.500
2 Re 0.500 0.000 0.000
3 Ag 0.500 0.500 0.500
4 Be 0.000 0.000 0.000
5 W 0.000 0.500 0.000

## Properties
Mass density, g/cm³: 15.06
M_tot, Bohr magnetons per cell: 0.00
Space-group type: P4/mmm (123)
Energy relative to the elements, eV per atom: 0.97

***

A relaxed structure of BeAg2Rh2, computed with GGA-PBE.

abc: 5.778 5.778 4.611
angles: 90.00 90.00 90.00
Sites, in units of the cell vectors:
1 Rh 0.651 0.151 0.000
2 Rh 0.151 0.349 0.000
3 Rh 0.849 0.651 0.000
4 Rh 0.349 0.849 0.000
5 Ag 0.330 0.170 0.500
6 Ag 0.170 0.670 0.500
7 Ag 0.830 0.330 0.500
8 Ag 0.670 0.830 0.500
9 Be 0.000 0.000 0.000
10 Be 0.500 0.500 0.000

## Properties
Mass density, g/cm³: 9.29
M_tot, Bohr magnetons per cell: 0.00
Space-group type: P4/mbm (127)
Energy relative to the elements, eV per atom: 0.17

***

A relaxed structure of Be2AgRh, computed with GGA-PBE.

abc: 8.128 8.128 8.128
angles: 19.28 19.28 19.28
Last column: magnetic moment on the atom in μB.
Sites, in units of the cell vectors:
1 Ag 0.256 0.256 0.256  0.01
2 Be 0.007 0.007 0.007  0.01
3 Be 0.750 0.750 0.750  0.00
4 Rh 0.487 0.487 0.487  0.31

## Properties
Mass density, g/cm³: 7.42
M_tot, Bohr magnetons per cell: 0.34
Space-group type: R3m (160)
Energy relative to the elements, eV per atom: 0.18

***

A relaxed structure of BeAg4Rh, computed with GGA-PBE.

abc: 5.304 5.304 5.304
angles: 60.00 60.00 60.00
Sites, in units of the cell vectors:
1 Ag 0.375 0.875 0.375
2 Ag 0.875 0.375 0.375
3 Ag 0.375 0.375 0.875
4 Ag 0.375 0.375 0.375
5 Be 0.750 0.750 0.750
6 Rh 0.000 0.000 0.000

## Properties
Mass density, g/cm³: 8.55
M_tot, Bohr magnetons per cell: 0.00
Space-group type: F-43m (216)
Energy relative to the elements, eV per atom: 0.60

***

A relaxed structure of Be2AgRh, computed with GGA-PBE.

abc: 4.532 4.532 4.099
angles: 76.14 76.14 36.13
Sites, in units of the cell vectors:
1 Ag 0.743 0.743 0.808
2 Be 0.248 0.248 0.305
3 Be 0.995 0.995 0.962
4 Rh 0.514 0.514 0.425

## Properties
Mass density, g/cm³: 7.91
M_tot, Bohr magnetons per cell: 0.00
Space-group type: Cm (8)
Energy relative to the elements, eV per atom: -0.14

***

A relaxed structure of Be3AgRh, computed with GGA-PBE.

abc: 4.149 4.149 4.149
angles: 90.00 90.00 90.00
Sites, in units of the cell vectors:
1 Rh 0.500 0.500 0.500
2 Be 0.500 0.000 0.000
3 Be 0.000 0.000 0.500
4 Be 0.000 0.500 0.000
5 Ag 0.000 0.000 0.000

## Properties
Mass density, g/cm³: 5.53
M_tot, Bohr magnetons per cell: 0.00
Offset from the most stable computed form, meV/atom: 544.5
Space-group type: Pm-3m (221)
Energy relative to the elements, eV per atom: 0.91

***

A relaxed structure of BeAgRh3, computed with GGA-PBE.

abc: 4.168 4.168 4.168
angles: 90.00 90.00 90.00
Sites, in units of the cell vectors:
1 Be 0.000 0.000 0.000
2 Rh 0.500 0.000 0.000
3 Rh 0.000 0.500 0.000
4 Rh 0.000 0.000 0.500
5 Ag 0.500 0.500 0.500

## Properties
Mass density, g/cm³: 9.76
M_tot, Bohr magnetons per cell: 0.00
Offset from the most stable computed form, meV/atom: 0.0
Space-group type: Pm-3m (221)
Energy relative to the elements, eV per atom: 0.30

***

A relaxed structure of Be2AgRh, computed with GGA-PBE.

abc: 4.888 4.888 4.888
angles: 139.58 139.58 58.49
Sites, in units of the cell vectors:
1 Be 0.000 0.000 0.000
2 Be 0.250 0.750 0.500
3 Rh 0.500 0.500 0.000
4 Ag 0.750 0.250 0.500

## Properties
Mass density, g/cm³: 7.81
M_tot, Bohr magnetons per cell: 0.00
Space-group type: I-4m2 (119)
Energy relative to the elements, eV per atom: -0.03

***

A relaxed structure of Be2AgRh, computed with GGA-PBE.

abc: 3.880 3.880 7.971
angles: 75.91 75.91 90.00
Sites, in units of the cell vectors:
1 Be 0.198 0.625 0.250
2 Be 0.875 0.802 0.750
3 Be 0.375 0.448 0.750
4 Be 0.552 0.125 0.250
5 Rh 0.500 0.500 0.000
6 Rh 0.250 0.750 0.500
7 Ag 0.750 0.250 0.500
8 Ag 0.000 0.000 0.000

## Properties
Mass density, g/cm³: 6.74
M_tot, Bohr magnetons per cell: 0.00
Space-group type: I-42d (122)
Energy relative to the elements, eV per atom: 0.28

***

A relaxed structure of BeAg3Rh, computed with GGA-PBE.

abc: 5.020 5.020 5.020
angles: 90.00 90.00 90.00
Last column: magnetic moment on the atom in μB.
Sites, in units of the cell vectors:
1 Rh 0.000 0.000 0.000  0.51
2 Ag 0.000 0.500 0.000  0.03
3 Ag 0.500 0.000 0.000  0.01
4 Ag 0.000 0.000 0.500  0.06
5 Be 0.500 0.500 0.500  -0.01

## Properties
Mass density, g/cm³: 5.72
M_tot, Bohr magnetons per cell: 0.56
Offset from the most stable computed form, meV/atom: 866.6
Space-group type: Pm-3m (221)
Energy relative to the elements, eV per atom: 1.45

***

A relaxed structure of BeAgRh4, computed with GGA-PBE.

abc: 5.098 5.098 5.098
angles: 60.00 60.00 60.00
Last column: magnetic moment on the atom in μB.
Sites, in units of the cell vectors:
1 Be 0.000 0.000 0.000  -0.01
2 Rh 0.375 0.375 0.876  0.37
3 Rh 0.375 0.375 0.375  0.37
4 Rh 0.876 0.375 0.375  0.37
5 Rh 0.375 0.876 0.375  0.37
6 Ag 0.750 0.750 0.750  0.02

## Properties
Mass density, g/cm³: 9.37
M_tot, Bohr magnetons per cell: 1.50
Space-group type: F-43m (216)
Energy relative to the elements, eV per atom: 0.46

***

A relaxed structure of Be2AgRh, computed with GGA-PBE.

abc: 2.897 2.897 5.741
angles: 90.00 90.00 89.99
Sites, in units of the cell vectors:
1 Ag 0.500 0.500 0.786
2 Be 0.500 0.500 0.247
3 Be 0.000 0.000 0.037
4 Rh 0.000 0.000 0.430

## Properties
Mass density, g/cm³: 7.89
M_tot, Bohr magnetons per cell: 0.00
Space-group type: P4mm (99)
Energy relative to the elements, eV per atom: -0.13

***

A relaxed structure of Be2AgRh2, computed with GGA-PBE.

abc: 6.412 6.412 2.951
angles: 90.00 90.00 90.00
Sites, in units of the cell vectors:
1 Ag 0.500 0.500 0.000
2 Ag 0.000 0.000 0.000
3 Be 0.873 0.627 0.000
4 Be 0.627 0.127 0.000
5 Be 0.373 0.873 0.000
6 Be 0.127 0.373 0.000
7 Rh 0.840 0.340 0.500
8 Rh 0.160 0.660 0.500
9 Rh 0.340 0.160 0.500
10 Rh 0.660 0.840 0.500

## Properties
Mass density, g/cm³: 9.08
M_tot, Bohr magnetons per cell: 0.00
Offset from the most stable computed form, meV/atom: 0.0
Space-group type: P4/mbm (127)
Energy relative to the elements, eV per atom: -0.35

***

A relaxed structure of Be2AgRh, computed with GGA-PBE.

abc: 3.696 2.915 4.587
angles: 71.74 90.00 90.00
Sites, in units of the cell vectors:
1 Be 0.500 0.043 0.290
2 Be 0.000 0.196 0.981
3 Rh 0.000 0.488 0.403
4 Ag 0.500 0.773 0.826

## Properties
Mass density, g/cm³: 8.10
M_tot, Bohr magnetons per cell: 0.00
Space-group type: Pm (6)
Energy relative to the elements, eV per atom: -0.23

***

A relaxed structure of BeAgRh, computed with GGA-PBE.

abc: 3.917 3.917 3.917
angles: 60.00 60.00 60.00
Sites, in units of the cell vectors:
1 Ag 0.500 0.500 0.500
2 Rh 0.000 0.000 0.000
3 Be 0.750 0.750 0.750

## Properties
Mass density, g/cm³: 8.59
M_tot, Bohr magnetons per cell: 0.00
Offset from the most stable computed form, meV/atom: 180.9
Space-group type: F-43m (216)
Energy relative to the elements, eV per atom: 0.03

***

A relaxed structure of Be2AgRh, computed with GGA-PBE.

abc: 7.537 7.537 7.537
angles: 21.44 21.44 21.44
Sites, in units of the cell vectors:
1 Rh 0.750 0.750 0.750
2 Be 0.492 0.492 0.492
3 Be 0.008 0.008 0.008
4 Ag 0.250 0.250 0.250

## Properties
Mass density, g/cm³: 7.58
M_tot, Bohr magnetons per cell: 0.00
Space-group type: R-3m (166)
Energy relative to the elements, eV per atom: -0.06

***

A relaxed structure of Be2AgRh, computed with GGA-PBE.

abc: 3.955 3.955 4.898
angles: 76.35 76.35 43.08
Sites, in units of the cell vectors:
1 Ag 0.750 0.750 0.750
2 Be 0.508 0.508 0.440
3 Be 0.992 0.992 0.060
4 Rh 0.250 0.250 0.250

## Properties
Mass density, g/cm³: 7.51
M_tot, Bohr magnetons per cell: 0.00
Space-group type: C2/m (12)
Energy relative to the elements, eV per atom: -0.06

***

A relaxed structure of Be2AgRh, computed with GGA-PBE.

abc: 2.856 2.856 5.807
angles: 90.00 90.00 90.00
Sites, in units of the cell vectors:
1 Be 0.000 0.000 0.042
2 Be 0.000 0.000 0.458
3 Rh 0.500 0.500 0.250
4 Ag 0.500 0.500 0.750

## Properties
Mass density, g/cm³: 8.02
M_tot, Bohr magnetons per cell: 0.00
Space-group type: P4/mmm (123)
Energy relative to the elements, eV per atom: -0.34

***

A relaxed structure of BeAgRh3, computed with GGA-PBE.

abc: 4.790 4.790 4.790
angles: 90.00 90.00 90.00
Last column: magnetic moment on the atom in μB.
Sites, in units of the cell vectors:
1 Be 0.500 0.500 0.500  0.00
2 Rh 0.500 0.000 0.000  0.50
3 Rh 0.000 0.000 0.500  1.03
4 Rh 0.000 0.500 0.000  0.73
5 Ag 0.000 0.000 0.000  0.06

## Properties
Mass density, g/cm³: 6.43
M_tot, Bohr magnetons per cell: 2.39
Offset from the most stable computed form, meV/atom: 1771.6
Space-group type: Pm-3m (221)
Energy relative to the elements, eV per atom: 2.07

***

A relaxed structure of Be2AgRh2, computed with GGA-PBE.

abc: 4.018 4.018 5.065
angles: 66.63 66.63 90.00
Sites, in units of the cell vectors:
1 Rh 0.649 0.649 0.701
2 Rh 0.351 0.351 0.299
3 Be 0.250 0.750 0.500
4 Be 0.750 0.250 0.500
5 Ag 0.000 0.000 0.000

## Properties
Mass density, g/cm³: 8.14
M_tot, Bohr magnetons per cell: 0.00
Offset from the most stable computed form, meV/atom: 321.6
Space-group type: I4/mmm (139)
Energy relative to the elements, eV per atom: -0.03

***

A relaxed structure of BeAgRh, computed with GGA-PBE.

abc: 2.791 2.791 6.053
angles: 90.00 90.00 120.00
Sites, in units of the cell vectors:
1 Rh 0.333 0.667 0.621
2 Ag 0.000 0.000 0.024
3 Be 0.667 0.333 0.355

## Properties
Mass density, g/cm³: 8.94
M_tot, Bohr magnetons per cell: 0.00
Offset from the most stable computed form, meV/atom: 117.3
Space-group type: P3m1 (156)
Energy relative to the elements, eV per atom: -0.03

***

A relaxed structure of Be2AgRh, computed with GGA-PBE.

abc: 4.165 4.165 4.165
angles: 60.00 60.00 60.00
Sites, in units of the cell vectors:
1 Be 0.250 0.250 0.250
2 Be 0.000 0.000 0.000
3 Ag 0.500 0.500 0.500
4 Rh 0.750 0.750 0.750

## Properties
Mass density, g/cm³: 7.44
M_tot, Bohr magnetons per cell: 0.00
Space-group type: F-43m (216)
Energy relative to the elements, eV per atom: 0.19

***

A relaxed structure of Be3AgRh, computed with GGA-PBE.

abc: 4.173 4.173 4.173
angles: 90.00 90.00 90.00
Sites, in units of the cell vectors:
1 Be 0.000 0.500 0.000
2 Be 0.500 0.000 0.000
3 Be 0.000 0.000 0.500
4 Rh 0.000 0.000 0.000
5 Ag 0.500 0.500 0.500

## Properties
Mass density, g/cm³: 5.43
M_tot, Bohr magnetons per cell: 0.00
Offset from the most stable computed form, meV/atom: 0.0
Space-group type: Pm-3m (221)
Energy relative to the elements, eV per atom: 0.36

***

A relaxed structure of BeAg3Rh, computed with GGA-PBE.

abc: 4.344 4.344 4.344
angles: 90.00 90.00 90.00
Sites, in units of the cell vectors:
1 Be 0.000 0.000 0.000
2 Rh 0.500 0.500 0.500
3 Ag 0.500 0.000 0.000
4 Ag 0.000 0.000 0.500
5 Ag 0.000 0.500 0.000

## Properties
Mass density, g/cm³: 8.82
M_tot, Bohr magnetons per cell: 0.00
Offset from the most stable computed form, meV/atom: 0.0
Space-group type: Pm-3m (221)
Energy relative to the elements, eV per atom: 0.59

***

A relaxed structure of BeAgRh, computed with GGA-PBE.

abc: 5.361 5.361 2.836
angles: 74.67 74.66 30.67
Sites, in units of the cell vectors:
1 Be 0.313 0.313 0.687
2 Ag 0.988 0.988 0.012
3 Rh 0.699 0.699 0.301

## Properties
Mass density, g/cm³: 9.13
M_tot, Bohr magnetons per cell: 0.00
Offset from the most stable computed form, meV/atom: 0.0
Space-group type: I4mm (107)
Energy relative to the elements, eV per atom: -0.15

***

A relaxed structure of BeAg2RhS, computed with GGA-PBE.

abc: 4.590 3.925 4.590
angles: 90.00 90.00 90.00
Last column: magnetic moment on the atom in μB.
Sites, in units of the cell vectors:
1 S 0.000 0.500 0.000  0.06
2 Ag 0.000 0.000 0.500  0.00
3 Ag 0.500 0.000 0.000  0.00
4 Be 0.000 0.000 0.000  0.01
5 Rh 0.500 0.500 0.500  0.83

## Properties
Mass density, g/cm³: 7.22
M_tot, Bohr magnetons per cell: 0.99
Total DFT energy (no corrections), eV/atom: -3.62
Space-group type: P4/mmm (123)

***

A relaxed structure of BeAgRh2Se, computed with GGA-PBE.

abc: 4.633 4.073 4.633
angles: 90.00 90.00 90.00
Sites, in units of the cell vectors:
1 Rh 0.500 0.000 0.000
2 Rh 0.000 0.000 0.500
3 Be 0.000 0.500 0.000
4 Ag 0.500 0.500 0.500
5 Se 0.000 0.000 0.000

## Properties
Mass density, g/cm³: 7.63
M_tot, Bohr magnetons per cell: 0.00
Total DFT energy (no corrections), eV/atom: -4.46
Space-group type: P4/mmm (123)

***

A relaxed structure of BeV2AgRh, computed with GGA-PBE.

abc: 4.122 4.168 4.122
angles: 90.00 90.00 90.00
Sites, in units of the cell vectors:
1 Be 0.000 0.000 0.000
2 Ag 0.000 0.500 0.000
3 Rh 0.500 0.500 0.500
4 V 0.000 0.000 0.500
5 V 0.500 0.000 0.000

## Properties
Mass density, g/cm³: 7.54
M_tot, Bohr magnetons per cell: 0.00
Space-group type: P4/mmm (123)
Energy relative to the elements, eV per atom: 0.67

***

A relaxed structure of BeZnAgRh, computed with GGA-PBE.

abc: 4.230 4.230 4.230
angles: 60.00 60.00 60.00
Sites, in units of the cell vectors:
1 Rh 0.250 0.250 0.250
2 Ag 0.750 0.750 0.750
3 Zn 0.500 0.500 0.500
4 Be 0.000 0.000 0.000

## Properties
Mass density, g/cm³: 8.85
M_tot, Bohr magnetons per cell: 0.00
Space-group type: F-43m (216)
Energy relative to the elements, eV per atom: -0.15